<A>
DFT (PBE-GGA) results for a geometry-optimized Ni3BiB structure.

Mass density in g/cm³: 10.0
M_tot in μB/f.u.: 0.000

CIF file:
```
data_Ni3BiB
_chemical_formula_sum 'Ni3 Bi1 B1'
_cell_length_a 4.032
_cell_length_b 4.032
_cell_length_c 4.032
_cell_angle_alpha 90.00
_cell_angle_beta 90.00
_cell_angle_gamma 90.00
_space_group_name_H-M_alt 'P m -3 m'
_space_group_IT_number 221
_space_group_name_Hall '-P 4 2 3'
loop_
_atom_site_label
_atom_site_type_symbol
_atom_site_fract_x
_atom_site_fract_y
_atom_site_fract_z
Ni1 Ni 0.000 0.000 0.500
Bi1 Bi 0.500 0.500 0.500
B1 B 0.000 0.000 0.000
```



<B>
DFT (PBE-GGA) results for a geometry-optimized Ni3BiB structure.

Mass density in g/cm³: 6.0
M_tot in μB/f.u.: 0.115

CIF file:
```
data_Ni3BiB
_chemical_formula_sum 'Ni3 Bi1 B1'
_cell_length_a 4.798
_cell_length_b 4.798
_cell_length_c 4.798
_cell_angle_alpha 90.00
_cell_angle_beta 90.00
_cell_angle_gamma 90.00
_space_group_name_H-M_alt 'P m -3 m'
_space_group_IT_number 221
_space_group_name_Hall '-P 4 2 3'
loop_
_atom_site_label
_atom_site_type_symbol
_atom_site_fract_x
_atom_site_fract_y
_atom_site_fract_z
Ni1 Ni 0.000 0.000 0.500
Bi1 Bi 0.000 0.000 0.000
B1 B 0.500 0.500 0.500
```



Here are the energies relative to the best structure, in meV per atom: <A> 0; <B> 1959.



<A>
DFT (PBE-GGA) results for a geometry-optimized BiB3O structure.

Mass density in g/cm³: 4.0
M_tot in μB/f.u.: 0.044

CIF file:
```
data_BiB3O
_chemical_formula_sum 'Bi1 B3 O1'
_cell_length_a 4.751
_cell_length_b 4.751
_cell_length_c 4.751
_cell_angle_alpha 90.00
_cell_angle_beta 90.00
_cell_angle_gamma 90.00
_space_group_name_H-M_alt 'P m -3 m'
_space_group_IT_number 221
_space_group_name_Hall '-P 4 2 3'
loop_
_atom_site_label
_atom_site_type_symbol
_atom_site_fract_x
_atom_site_fract_y
_atom_site_fract_z
Bi1 Bi 0.000 0.000 0.000
B1 B 0.000 0.000 0.500
O1 O 0.500 0.500 0.500
```



<B>
DFT (PBE-GGA) results for a geometry-optimized BiB3O structure.

Mass density in g/cm³: 7.0
M_tot in μB/f.u.: 0.000

CIF file:
```
data_BiB3O
_chemical_formula_sum 'Bi1 B3 O1'
_cell_length_a 3.944
_cell_length_b 3.944
_cell_length_c 3.944
_cell_angle_alpha 90.00
_cell_angle_beta 90.00
_cell_angle_gamma 90.00
_space_group_name_H-M_alt 'P m -3 m'
_space_group_IT_number 221
_space_group_name_Hall '-P 4 2 3'
loop_
_atom_site_label
_atom_site_type_symbol
_atom_site_fract_x
_atom_site_fract_y
_atom_site_fract_z
Bi1 Bi 0.000 0.000 0.000
B1 B 0.000 0.500 0.500
O1 O 0.500 0.500 0.500
```



Here are the energies relative to the best structure, in meV per atom: <A> 1131; <B> 0.



<A>
DFT (PBE-GGA) results for a geometry-optimized BiB3O6 structure.

Mass density in g/cm³: 6.0
M_tot in μB/f.u.: 0.000

CIF file:
```
data_BiB3O6
_chemical_formula_sum 'Bi4 B12 O24'
_cell_length_a 4.302
_cell_length_b 11.822
_cell_length_c 7.334
_cell_angle_alpha 90.00
_cell_angle_beta 91.06
_cell_angle_gamma 90.00
_space_group_name_H-M_alt 'P 1 21/c 1'
_space_group_IT_number 14
loop_
_space_group_symop_operation_xyz
'x,y,z'
'-x,-y,-z'
'-x,y+1/2,-z+1/2'
'x,-y+1/2,z+1/2'
loop_
_atom_site_label
_atom_site_type_symbol
_atom_site_fract_x
_atom_site_fract_y
_atom_site_fract_z
Bi1 Bi 0.164 0.114 0.369
B1 B 0.201 0.093 0.870
B2 B 0.309 0.625 0.433
B3 B 0.318 0.663 0.792
O1 O 0.146 0.628 0.616
O2 O 0.193 0.528 0.322
O3 O 0.212 0.721 0.321
O4 O 0.232 0.582 0.938
O5 O 0.345 0.160 0.728
O6 O 0.358 0.116 0.042
```



<B>
DFT (PBE-GGA) results for a geometry-optimized BiB3O6 structure.

Mass density in g/cm³: 4.5
M_tot in μB/f.u.: 0.000

CIF file:
```
data_BiB3O6
_chemical_formula_sum 'Bi2 B6 O12'
_cell_length_a 6.917
_cell_length_b 5.523
_cell_length_c 6.683
_cell_angle_alpha 90.00
_cell_angle_beta 104.77
_cell_angle_gamma 90.00
_space_group_name_H-M_alt 'C 1 2 1'
_space_group_IT_number 5
loop_
_space_group_symop_operation_xyz
'x,y,z'
'-x,y,-z'
'x+1/2,y+1/2,z'
'-x+1/2,y+1/2,-z'
loop_
_atom_site_label
_atom_site_type_symbol
_atom_site_fract_x
_atom_site_fract_y
_atom_site_fract_z
Bi1 Bi 0.000 0.000 0.000
B1 B 0.000 0.239 0.500
B2 B 0.248 0.907 0.694
O1 O 0.093 0.078 0.681
O2 O 0.154 0.392 0.456
O3 O 0.218 0.279 0.122
```



Here are the energies relative to the best structure, in meV per atom: <A> 17; <B> 0.



<A>
DFT (PBE-GGA) results for a geometry-optimized Bi2B2O7 structure.

Mass density in g/cm³: 6.2
M_tot in μB/f.u.: 1.013

CIF file:
```
data_Bi2B2O7
_chemical_formula_sum 'Bi4 B4 O14'
_cell_length_a 6.495
_cell_length_b 6.555
_cell_length_c 8.012
_cell_angle_alpha 109.13
_cell_angle_beta 111.14
_cell_angle_gamma 90.66
_space_group_name_H-M_alt 'P -1'
_space_group_IT_number 2
loop_
_space_group_symop_operation_xyz
'x,y,z'
'-x,-y,-z'
loop_
_atom_site_label
_atom_site_type_symbol
_atom_site_fract_x
_atom_site_fract_y
_atom_site_fract_z
Bi1 Bi 0.209 0.348 0.212
Bi2 Bi 0.263 0.208 0.638
B1 B 0.175 0.658 0.628
B2 B 0.186 0.842 0.232
O1 O 0.036 0.209 0.886
O2 O 0.107 0.818 0.551
O3 O 0.115 0.616 0.764
O4 O 0.283 0.059 0.354
O5 O 0.312 0.514 0.564
O6 O 0.330 0.687 0.233
O7 O 0.483 0.019 0.075
```



<B>
DFT (PBE-GGA) results for a geometry-optimized Bi2B2O7 structure.

Mass density in g/cm³: 6.0
M_tot in μB/f.u.: 0.000

CIF file:
```
data_Bi2B2O7
_chemical_formula_sum 'Bi4 B4 O14'
_cell_length_a 6.392
_cell_length_b 6.608
_cell_length_c 7.502
_cell_angle_alpha 79.62
_cell_angle_beta 79.37
_cell_angle_gamma 87.32
_space_group_name_H-M_alt 'P -1'
_space_group_IT_number 2
loop_
_space_group_symop_operation_xyz
'x,y,z'
'-x,-y,-z'
loop_
_atom_site_label
_atom_site_type_symbol
_atom_site_fract_x
_atom_site_fract_y
_atom_site_fract_z
Bi1 Bi 0.098 0.260 0.261
Bi2 Bi 0.316 0.224 0.722
B1 B 0.186 0.717 0.274
B2 B 0.384 0.736 0.667
O1 O 0.011 0.225 0.628
O2 O 0.212 0.570 0.168
O3 O 0.219 0.176 0.001
O4 O 0.257 0.563 0.689
O5 O 0.271 0.894 0.738
O6 O 0.347 0.834 0.304
O7 O 0.403 0.256 0.416
```



<C>
DFT (PBE-GGA) results for a geometry-optimized Bi2B2O7 structure.

Mass density in g/cm³: 5.2
M_tot in μB/f.u.: 0.995

CIF file:
```
data_Bi2B2O7
_chemical_formula_sum 'Bi4 B4 O14'
_cell_length_a 5.576
_cell_length_b 8.240
_cell_length_c 8.630
_cell_angle_alpha 112.99
_cell_angle_beta 99.44
_cell_angle_gamma 95.87
_space_group_name_H-M_alt 'P -1'
_space_group_IT_number 2
loop_
_space_group_symop_operation_xyz
'x,y,z'
'-x,-y,-z'
loop_
_atom_site_label
_atom_site_type_symbol
_atom_site_fract_x
_atom_site_fract_y
_atom_site_fract_z
Bi1 Bi 0.090 0.212 0.448
Bi2 Bi 0.305 0.526 0.165
B1 B 0.176 0.252 0.839
B2 B 0.388 0.620 0.633
O1 O 0.004 0.320 0.934
O2 O 0.084 0.977 0.962
O3 O 0.114 0.131 0.668
O4 O 0.267 0.706 0.542
O5 O 0.269 0.478 0.662
O6 O 0.360 0.328 0.299
O7 O 0.420 0.320 0.934
```



<D>
DFT (PBE-GGA) results for a geometry-optimized Bi2B2O7 structure.

Mass density in g/cm³: 6.8
M_tot in μB/f.u.: 0.491

CIF file:
```
data_Bi2B2O7
_chemical_formula_sum 'Bi4 B4 O14'
_cell_length_a 5.444
_cell_length_b 6.608
_cell_length_c 8.011
_cell_angle_alpha 71.38
_cell_angle_beta 86.84
_cell_angle_gamma 79.13
_space_group_name_H-M_alt 'P -1'
_space_group_IT_number 2
loop_
_space_group_symop_operation_xyz
'x,y,z'
'-x,-y,-z'
loop_
_atom_site_label
_atom_site_type_symbol
_atom_site_fract_x
_atom_site_fract_y
_atom_site_fract_z
Bi1 Bi 0.183 0.094 0.142
Bi2 Bi 0.275 0.309 0.605
B1 B 0.203 0.827 0.579
B2 B 0.351 0.654 0.165
O1 O 0.054 0.669 0.609
O2 O 0.093 0.778 0.133
O3 O 0.194 0.933 0.704
O4 O 0.337 0.898 0.425
O5 O 0.382 0.515 0.031
O6 O 0.420 0.499 0.335
O7 O 0.476 0.193 0.879
```



Here are the energies relative to the best structure, in meV per atom: <A> 0; <B> 64; <C> 7; <D> 40.



<A>
DFT (PBE-GGA) results for a geometry-optimized BiBP2O structure.

Mass density in g/cm³: 6.2
M_tot in μB/f.u.: 0.000

CIF file:
```
data_BiBP2O
_chemical_formula_sum 'Bi1 B1 P2 O1'
_cell_length_a 5.340
_cell_length_b 5.340
_cell_length_c 2.817
_cell_angle_alpha 90.00
_cell_angle_beta 90.00
_cell_angle_gamma 90.00
_space_group_name_H-M_alt 'P 4/m m m'
_space_group_IT_number 123
_space_group_name_Hall '-P 4 2'
loop_
_atom_site_label
_atom_site_type_symbol
_atom_site_fract_x
_atom_site_fract_y
_atom_site_fract_z
Bi1 Bi 0.000 0.000 0.000
B1 B 0.500 0.500 0.500
P1 P 0.000 0.500 0.500
O1 O 0.500 0.500 0.000
```



<B>
DFT (PBE-GGA) results for a geometry-optimized BiBP2O structure.

Mass density in g/cm³: 4.2
M_tot in μB/f.u.: 1.315

CIF file:
```
data_BiBP2O
_chemical_formula_sum 'Bi1 B1 P2 O1'
_cell_length_a 5.327
_cell_length_b 5.327
_cell_length_c 4.170
_cell_angle_alpha 90.00
_cell_angle_beta 90.00
_cell_angle_gamma 90.00
_space_group_name_H-M_alt 'P 4/m m m'
_space_group_IT_number 123
_space_group_name_Hall '-P 4 2'
loop_
_atom_site_label
_atom_site_type_symbol
_atom_site_fract_x
_atom_site_fract_y
_atom_site_fract_z
Bi1 Bi 0.000 0.000 0.000
B1 B 0.500 0.500 0.500
P1 P 0.000 0.500 0.000
O1 O 0.000 0.000 0.500
```



Here are the energies relative to the best structure, in meV per atom: <A> 0; <B> 1407.



<A>
DFT (PBE-GGA) results for a geometry-optimized BiBPO2 structure.

Mass density in g/cm³: 5.0
M_tot in μB/f.u.: 0.000

CIF file:
```
data_BiBPO2
_chemical_formula_sum 'Bi1 B1 P1 O2'
_cell_length_a 4.082
_cell_length_b 4.082
_cell_length_c 5.625
_cell_angle_alpha 90.00
_cell_angle_beta 90.00
_cell_angle_gamma 90.00
_space_group_name_H-M_alt 'P 4/m m m'
_space_group_IT_number 123
_space_group_name_Hall '-P 4 2'
loop_
_atom_site_label
_atom_site_type_symbol
_atom_site_fract_x
_atom_site_fract_y
_atom_site_fract_z
Bi1 Bi 0.000 0.000 0.000
B1 B 0.500 0.500 0.500
P1 P 0.000 0.000 0.500
O1 O 0.000 0.500 0.000
```



<B>
DFT (PBE-GGA) results for a geometry-optimized BiBPO2 structure.

Mass density in g/cm³: 7.9
M_tot in μB/f.u.: 0.000

CIF file:
```
data_BiBPO2
_chemical_formula_sum 'Bi1 B1 P1 O2'
_cell_length_a 3.818
_cell_length_b 3.818
_cell_length_c 4.067
_cell_angle_alpha 90.00
_cell_angle_beta 90.00
_cell_angle_gamma 90.00
_space_group_name_H-M_alt 'P 4/m m m'
_space_group_IT_number 123
_space_group_name_Hall '-P 4 2'
loop_
_atom_site_label
_atom_site_type_symbol
_atom_site_fract_x
_atom_site_fract_y
_atom_site_fract_z
Bi1 Bi 0.000 0.000 0.000
B1 B 0.500 0.500 0.500
P1 P 0.500 0.500 0.000
O1 O 0.000 0.500 0.500
```



Here are the energies relative to the best structure, in meV per atom: <A> 869; <B> 0.



<A>
DFT (PBE-GGA) results for a geometry-optimized BiBOs3 structure.

Mass density in g/cm³: 10.3
M_tot in μB/f.u.: 4.488

CIF file:
```
data_BiBOs3
_chemical_formula_sum 'Bi1 B1 Os3'
_cell_length_a 5.033
_cell_length_b 5.033
_cell_length_c 5.033
_cell_angle_alpha 90.00
_cell_angle_beta 90.00
_cell_angle_gamma 90.00
_space_group_name_H-M_alt 'P m -3 m'
_space_group_IT_number 221
_space_group_name_Hall '-P 4 2 3'
loop_
_atom_site_label
_atom_site_type_symbol
_atom_site_fract_x
_atom_site_fract_y
_atom_site_fract_z
Bi1 Bi 0.000 0.000 0.000
B1 B 0.500 0.500 0.500
Os1 Os 0.000 0.000 0.500
```



<B>
DFT (PBE-GGA) results for a geometry-optimized BiBOs3 structure.

Mass density in g/cm³: 17.3
M_tot in μB/f.u.: 0.000

CIF file:
```
data_BiBOs3
_chemical_formula_sum 'Bi1 B1 Os3'
_cell_length_a 4.231
_cell_length_b 4.231
_cell_length_c 4.231
_cell_angle_alpha 90.00
_cell_angle_beta 90.00
_cell_angle_gamma 90.00
_space_group_name_H-M_alt 'P m -3 m'
_space_group_IT_number 221
_space_group_name_Hall '-P 4 2 3'
loop_
_atom_site_label
_atom_site_type_symbol
_atom_site_fract_x
_atom_site_fract_y
_atom_site_fract_z
Bi1 Bi 0.000 0.000 0.000
B1 B 0.500 0.500 0.500
Os1 Os 0.000 0.500 0.500
```



Here are the energies relative to the best structure, in meV per atom: <A> 3236; <B> 0.



<A>
DFT (PBE-GGA) results for a geometry-optimized Bi3BOs structure.

Mass density in g/cm³: 12.0
M_tot in μB/f.u.: 0.000

CIF file:
```
data_Bi3BOs
_chemical_formula_sum 'Bi3 B1 Os1'
_cell_length_a 4.860
_cell_length_b 4.860
_cell_length_c 4.860
_cell_angle_alpha 90.00
_cell_angle_beta 90.00
_cell_angle_gamma 90.00
_space_group_name_H-M_alt 'P m -3 m'
_space_group_IT_number 221
_space_group_name_Hall '-P 4 2 3'
loop_
_atom_site_label
_atom_site_type_symbol
_atom_site_fract_x
_atom_site_fract_y
_atom_site_fract_z
Bi1 Bi 0.000 0.000 0.500
B1 B 0.000 0.000 0.000
Os1 Os 0.500 0.500 0.500
```



<B>
DFT (PBE-GGA) results for a geometry-optimized Bi3BOs structure.

Mass density in g/cm³: 9.2
M_tot in μB/f.u.: 0.000

CIF file:
```
data_Bi3BOs
_chemical_formula_sum 'Bi3 B1 Os1'
_cell_length_a 5.308
_cell_length_b 5.308
_cell_length_c 5.308
_cell_angle_alpha 90.00
_cell_angle_beta 90.00
_cell_angle_gamma 90.00
_space_group_name_H-M_alt 'P m -3 m'
_space_group_IT_number 221
_space_group_name_Hall '-P 4 2 3'
loop_
_atom_site_label
_atom_site_type_symbol
_atom_site_fract_x
_atom_site_fract_y
_atom_site_fract_z
Bi1 Bi 0.000 0.000 0.500
B1 B 0.500 0.500 0.500
Os1 Os 0.000 0.000 0.000
```



Here are the energies relative to the best structure, in meV per atom: <A> 0; <B> 133.



<A>
DFT (PBE-GGA) results for a geometry-optimized BiBP3 structure.

Mass density in g/cm³: 3.6
M_tot in μB/f.u.: 1.100

CIF file:
```
data_BiBP3
_chemical_formula_sum 'Bi1 B1 P3'
_cell_length_a 5.269
_cell_length_b 5.269
_cell_length_c 5.269
_cell_angle_alpha 90.00
_cell_angle_beta 90.00
_cell_angle_gamma 90.00
_space_group_name_H-M_alt 'P m -3 m'
_space_group_IT_number 221
_space_group_name_Hall '-P 4 2 3'
loop_
_atom_site_label
_atom_site_type_symbol
_atom_site_fract_x
_atom_site_fract_y
_atom_site_fract_z
Bi1 Bi 0.000 0.000 0.000
B1 B 0.500 0.500 0.500
P1 P 0.000 0.000 0.500
```



<B>
DFT (PBE-GGA) results for a geometry-optimized BiBP3 structure.

Mass density in g/cm³: 6.4
M_tot in μB/f.u.: 0.000

CIF file:
```
data_BiBP3
_chemical_formula_sum 'Bi1 B1 P3'
_cell_length_a 4.337
_cell_length_b 4.337
_cell_length_c 4.337
_cell_angle_alpha 90.00
_cell_angle_beta 90.00
_cell_angle_gamma 90.00
_space_group_name_H-M_alt 'P m -3 m'
_space_group_IT_number 221
_space_group_name_Hall '-P 4 2 3'
loop_
_atom_site_label
_atom_site_type_symbol
_atom_site_fract_x
_atom_site_fract_y
_atom_site_fract_z
Bi1 Bi 0.000 0.000 0.000
B1 B 0.500 0.500 0.500
P1 P 0.000 0.500 0.500
```



Here are the energies relative to the best structure, in meV per atom: <A> 1536; <B> 0.



<A>
DFT (PBE-GGA) results for a geometry-optimized BiB3P structure.

Mass density in g/cm³: 6.8
M_tot in μB/f.u.: 0.000

CIF file:
```
data_BiB3P
_chemical_formula_sum 'Bi1 B3 P1'
_cell_length_a 4.059
_cell_length_b 4.059
_cell_length_c 4.059
_cell_angle_alpha 90.00
_cell_angle_beta 90.00
_cell_angle_gamma 90.00
_space_group_name_H-M_alt 'P m -3 m'
_space_group_IT_number 221
_space_group_name_Hall '-P 4 2 3'
loop_
_atom_site_label
_atom_site_type_symbol
_atom_site_fract_x
_atom_site_fract_y
_atom_site_fract_z
Bi1 Bi 0.000 0.000 0.000
B1 B 0.000 0.500 0.500
P1 P 0.500 0.500 0.500
```



<B>
DFT (PBE-GGA) results for a geometry-optimized BiB3P structure.

Mass density in g/cm³: 4.5
M_tot in μB/f.u.: 0.000

CIF file:
```
data_BiB3P
_chemical_formula_sum 'Bi1 B3 P1'
_cell_length_a 4.654
_cell_length_b 4.654
_cell_length_c 4.654
_cell_angle_alpha 90.00
_cell_angle_beta 90.00
_cell_angle_gamma 90.00
_space_group_name_H-M_alt 'P m -3 m'
_space_group_IT_number 221
_space_group_name_Hall '-P 4 2 3'
loop_
_atom_site_label
_atom_site_type_symbol
_atom_site_fract_x
_atom_site_fract_y
_atom_site_fract_z
Bi1 Bi 0.000 0.000 0.000
B1 B 0.000 0.000 0.500
P1 P 0.500 0.500 0.500
```



Here are the energies relative to the best structure, in meV per atom: <A> 0; <B> 1353.